1.
# LiCoSe2

A crystal of LiCoSe2 relaxed with PBEsol (meta-GGA SCAN, Alexandria via LeMat-Bulk).

Values from the calculation:
symmetry = R-3m, No. 166

```
LiCoSe2
1.0
3.553 0.000 0.000
1.776 3.077 0.000
1.776 1.026 5.977
Li Co Se
1 1 2
direct
0.000 0.000 0.000 Li
0.500 0.500 0.500 Co
0.234 0.234 0.299 Se
0.766 0.766 0.701 Se
```

2.
# LiCo2Se

A crystal of LiCo2Se relaxed with PBEsol (meta-GGA SCAN, Alexandria via LeMat-Bulk).

Values from the calculation:
N(E_F) = 0.457 states/eV/atom
symmetry = I4/mmm, No. 139

```
LiCo2Se
1.0
3.666 0.000 0.000
0.000 3.666 0.000
-1.833 -1.833 3.186
Se Co Li
1 2 1
direct
0.000 0.000 0.000 Se
0.250 0.750 0.500 Co
0.750 0.250 0.500 Co
0.500 0.500 0.000 Li
```

3.
# LiCo2Si

A crystal of LiCo2Si relaxed with PBEsol (meta-GGA SCAN, Alexandria via LeMat-Bulk).

Values from the calculation:
N(E_F) = 0.670 states/eV/atom
symmetry = Imm2, No. 44

```
LiCo2Si
1.0
-1.695 -2.064 0.215
2.006 -1.338 2.973
-2.468 3.864 0.940
Co Li Si
2 1 1
direct
0.740 0.240 0.481 Co
0.997 0.997 0.994 Co
0.498 0.498 0.997 Li
0.264 0.764 0.529 Si
```

4.
# LiCo2Sn2

A crystal of LiCo2Sn2 relaxed with PBEsol (meta-GGA SCAN, Alexandria via LeMat-Bulk).

Values from the calculation:
calculated formation energy = 0.22 eV per formula unit
N(E_F) = 0.476 states/eV/atom
symmetry = P4/mbm, No. 127

```
LiCo2Sn2
1.0
2.944 0.000 0.000
0.000 7.220 0.000
0.000 0.000 7.220
Sn Co Li
4 4 2
direct
0.500 0.335 0.165 Sn
0.500 0.665 0.835 Sn
0.500 0.835 0.335 Sn
0.500 0.165 0.665 Sn
0.000 0.632 0.132 Co
0.000 0.132 0.368 Co
0.000 0.868 0.632 Co
0.000 0.368 0.868 Co
0.000 0.500 0.500 Li
0.000 0.000 0.000 Li
```

5.
# Li2CoSnW

A crystal of Li2CoSnW relaxed with PBEsol (meta-GGA SCAN, Alexandria via LeMat-Bulk).

Values from the calculation:
calculated formation energy = 3.53 eV per formula unit
N(E_F) = 0.477 states/eV/atom
symmetry = P4/mmm, No. 123

```
Li2CoSnW
1.0
4.223 0.000 0.000
0.000 4.223 0.000
0.000 0.000 4.516
Sn Co Li W
1 1 2 1
direct
0.500 0.500 0.500 Sn
0.000 0.000 0.000 Co
0.000 0.500 0.000 Li
0.500 0.000 0.000 Li
0.000 0.000 0.500 W
```

6.
# Sr2LiCo

A crystal of Sr2LiCo relaxed with PBEsol (meta-GGA SCAN, Alexandria via LeMat-Bulk).

Values from the calculation:
calculated formation energy = 1.42 eV per formula unit
energy above the most stable polymorph in this dataset = 0.00 eV/f.u.
N(E_F) = 0.834 states/eV/atom
symmetry = Fm-3m, No. 225

```
Sr2LiCo
1.0
5.269 0.000 0.000
2.634 4.563 0.000
2.634 1.521 4.302
Co Sr Li
1 2 1
direct
0.500 0.500 0.500 Co
0.750 0.750 0.750 Sr
0.250 0.250 0.250 Sr
0.000 0.000 0.000 Li
```

7.
# Sr2LiCo

A crystal of Sr2LiCo relaxed with PBEsol (meta-GGA SCAN, Alexandria via LeMat-Bulk).

Values from the calculation:
calculated formation energy = 2.69 eV per formula unit
energy above the most stable polymorph in this dataset = 1.27 eV/f.u.
N(E_F) = 1.630 states/eV/atom
symmetry = F-43m, No. 216

```
Sr2LiCo
1.0
-3.006 1.937 -3.830
-5.211 0.072 0.542
-2.501 4.554 0.682
Li Sr Co
1 2 1
direct
0.250 0.250 0.250 Li
0.750 0.750 0.750 Sr
0.000 0.000 0.000 Sr
0.500 0.500 0.500 Co
```

8.
# Sr3LiCo

A crystal of Sr3LiCo relaxed with PBEsol (meta-GGA SCAN, Alexandria via LeMat-Bulk).

Values from the calculation:
calculated formation energy = 1.71 eV per formula unit
N(E_F) = 1.033 states/eV/atom
symmetry = Pm-3m, No. 221

```
Sr3LiCo
1.0
5.696 0.000 0.000
0.000 5.696 0.000
0.000 0.000 5.696
Sr Co Li
3 1 1
direct
0.000 0.500 0.000 Sr
0.500 0.000 0.000 Sr
0.000 0.000 0.500 Sr
0.000 0.000 0.000 Co
0.500 0.500 0.500 Li
```

Number 1: uncorrected energy -62.65 eV/cell. Number 2: uncorrected energy -56.46 eV/cell. Number 3: uncorrected energy -47.56 eV/cell. Number 4: uncorrected energy -217.25 eV/cell. Number 5: uncorrected energy -124.16 eV/cell. Number 6: uncorrected energy -62.82 eV/cell. Number 7: uncorrected energy -61.56 eV/cell. Number 8: uncorrected energy -84.81 eV/cell.